No. 1
This record from the Alexandria database describes crystalline La2TbNdBi4 at its relaxed geometry. The functional is PBE.

Cell lengths 8.011, 4.635, 8.021 Å; angles 90.00, 109.50, 90.00 degrees
Sites, in units of the cell vectors:
1 La 0.000 0.000 0.000
2 La 0.000 0.500 0.500
3 Tb 0.500 0.000 0.500
4 Nd 0.500 0.500 0.000
5 Bi 0.257 0.000 0.749
6 Bi 0.259 0.500 0.256
7 Bi 0.741 0.500 0.744
8 Bi 0.743 0.000 0.251

As for the space group: P2/m. The formation energy is -22.7 kcal/mol of atoms.



No. 2
This record from the Alexandria database describes crystalline La2TbNdBi5 at its relaxed geometry. The functional is PBE.

Cell lengths 5.463, 5.463, 12.120 Å; angles 90.00, 90.00, 90.00 degrees
Sites, in units of the cell vectors:
1 La 0.000 0.000 0.222
2 La 0.000 0.000 0.778
3 Tb 0.500 0.500 0.000
4 Nd 0.500 0.500 0.500
5 Bi 0.000 0.000 0.500
6 Bi 0.000 0.500 0.000
7 Bi 0.500 0.000 0.000
8 Bi 0.500 0.500 0.251
9 Bi 0.500 0.500 0.749

As for the space group: P4/mmm. The formation energy is -6.2 kcal/mol of atoms.



No. 3
This record from the Alexandria database describes crystalline LaTbNd2Bi5 at its relaxed geometry. The functional is PBE.

Cell lengths 5.444, 5.444, 12.211 Å; angles 90.00, 90.00, 90.00 degrees
Sites, in units of the cell vectors:
1 La 0.000 0.000 0.000
2 Tb 0.000 0.000 0.500
3 Nd 0.500 0.500 0.271
4 Nd 0.500 0.500 0.729
5 Bi 0.000 0.000 0.251
6 Bi 0.000 0.000 0.749
7 Bi 0.000 0.500 0.500
8 Bi 0.500 0.000 0.500
9 Bi 0.500 0.500 0.000

As for the space group: P4/mmm. The formation energy is -4.1 kcal/mol of atoms.



No. 4
This record from the Alexandria database describes crystalline La2NdTh3Bi6 at its relaxed geometry. The functional is PBE.

Cell lengths 10.373, 10.373, 9.268 Å; angles 103.14, 103.14, 25.79 degrees
Sites, in units of the cell vectors:
1 La 0.166 0.166 0.332
2 La 0.834 0.834 0.668
3 Nd 0.500 0.500 0.000
4 Th 0.167 0.167 0.834
5 Th 0.500 0.500 0.500
6 Th 0.833 0.833 0.166
7 Bi 0.002 0.002 0.750
8 Bi 0.334 0.334 0.414
9 Bi 0.334 0.334 0.920
10 Bi 0.666 0.666 0.080
11 Bi 0.666 0.666 0.586
12 Bi 0.998 0.998 0.250

As for the space group: C2/m. The formation energy is -18.6 kcal/mol of atoms.



No. 5
This record from the Alexandria database describes crystalline LaNd2ThBi5 at its relaxed geometry. The functional is PBE.

Cell lengths 5.727, 5.727, 12.205 Å; angles 90.00, 90.00, 90.00 degrees
Sites, in units of the cell vectors:
1 La 0.000 0.000 0.000
2 Nd 0.500 0.500 0.272
3 Nd 0.500 0.500 0.728
4 Th 0.000 0.000 0.500
5 Bi 0.000 0.000 0.247
6 Bi 0.000 0.000 0.753
7 Bi 0.000 0.500 0.500
8 Bi 0.500 0.000 0.500
9 Bi 0.500 0.500 0.000

As for the space group: P4/mmm. The formation energy is -0.3 kcal/mol of atoms.



No. 6
This record from the Alexandria database describes crystalline LaNd2Th3Bi6 at its relaxed geometry. The functional is PBE.

Cell lengths 10.336, 10.336, 9.232 Å; angles 103.03, 103.03, 25.82 degrees
Sites, in units of the cell vectors:
1 La 0.000 0.000 0.000
2 Nd 0.333 0.333 0.666
3 Nd 0.667 0.667 0.334
4 Th 0.000 0.000 0.500
5 Th 0.334 0.334 0.168
6 Th 0.666 0.666 0.832
7 Bi 0.166 0.166 0.583
8 Bi 0.168 0.168 0.083
9 Bi 0.500 0.500 0.253
10 Bi 0.500 0.500 0.747
11 Bi 0.832 0.832 0.917
12 Bi 0.834 0.834 0.417

As for the space group: C2/m. The formation energy is -18.1 kcal/mol of atoms.



No. 7
This record from the Alexandria database describes crystalline LaNd2TmBi4 at its relaxed geometry. The functional is PBE.

Cell lengths 7.944, 4.598, 7.959 Å; angles 90.00, 109.47, 90.00 degrees
Sites, in units of the cell vectors:
1 La 0.000 0.000 0.000
2 Nd 0.000 0.500 0.500
3 Nd 0.500 0.000 0.500
4 Tm 0.500 0.500 0.000
5 Bi 0.257 0.500 0.249
6 Bi 0.259 0.000 0.757
7 Bi 0.741 0.000 0.243
8 Bi 0.743 0.500 0.751

As for the space group: P2/m. The formation energy is -21.3 kcal/mol of atoms.



No. 8
This record from the Alexandria database describes crystalline LaNdZnBi at its relaxed geometry. The functional is PBE.

Cell lengths 7.761, 7.761, 7.761 Å; angles 90.00, 90.00, 90.00 degrees
Sites, in units of the cell vectors:
1 La 0.000 0.000 0.000
2 La 0.000 0.500 0.500
3 La 0.500 0.000 0.500
4 La 0.500 0.500 0.000
5 Nd 0.000 0.000 0.500
6 Nd 0.000 0.500 0.000
7 Nd 0.500 0.000 0.000
8 Nd 0.500 0.500 0.500
9 Zn 0.250 0.250 0.250
10 Zn 0.250 0.750 0.750
11 Zn 0.750 0.250 0.750
12 Zn 0.750 0.750 0.250
13 Bi 0.250 0.250 0.750
14 Bi 0.250 0.750 0.250
15 Bi 0.750 0.250 0.250
16 Bi 0.750 0.750 0.750

As for the space group: F-43m. The formation energy is -11.4 kcal/mol of atoms.



No. 9
This record from the Alexandria database describes crystalline LaNi4Bi at its relaxed geometry. The functional is PBE.

Cell lengths 5.175, 5.175, 5.175 Å; angles 60.00, 60.00, 60.00 degrees
Sites, in units of the cell vectors:
1 La 0.000 0.000 0.000
2 Ni 0.375 0.375 0.375
3 Ni 0.375 0.375 0.874
4 Ni 0.375 0.874 0.375
5 Ni 0.874 0.375 0.375
6 Bi 0.750 0.750 0.750

As for the space group: F-43m. The formation energy is -3.9 kcal/mol of atoms.



No. 10
This record from the Alexandria database describes crystalline La3NiBi at its relaxed geometry. The functional is PBE.

Cell lengths 5.448, 5.448, 5.448 Å; angles 90.00, 90.00, 90.00 degrees
Sites, in units of the cell vectors:
1 La 0.000 0.000 0.500
2 La 0.000 0.500 0.000
3 La 0.500 0.000 0.000
4 Ni 0.000 0.000 0.000
5 Bi 0.500 0.500 0.500

The calculation puts the excess energy over the best structure of this formula in the dataset at 0 meV per atom. As for the space group: Pm-3m. The formation energy is -10.4 kcal/mol of atoms.



No. 11
This record from the Alexandria database describes crystalline La2NiBi at its relaxed geometry. The functional is PBE.

Cell lengths 8.289, 8.289, 6.654 Å; angles 90.00, 90.00, 90.00 degrees
Sites, in units of the cell vectors:
1 La 0.188 0.250 0.125
2 La 0.250 0.688 0.375
3 La 0.250 0.812 0.875
4 La 0.312 0.250 0.625
5 La 0.688 0.750 0.625
6 La 0.750 0.188 0.875
7 La 0.750 0.312 0.375
8 La 0.812 0.750 0.125
9 Ni 0.000 0.000 0.000
10 Ni 0.000 0.500 0.250
11 Ni 0.500 0.000 0.750
12 Ni 0.500 0.500 0.500
13 Bi 0.000 0.000 0.500
14 Bi 0.000 0.500 0.750
15 Bi 0.500 0.000 0.250
16 Bi 0.500 0.500 0.000

As for the space group: I-42d. The formation energy is -8.9 kcal/mol of atoms.



No. 12
This record from the Alexandria database describes crystalline La4NiBi2 at its relaxed geometry. The functional is PBE.

Cell lengths 7.242, 6.765, 9.779 Å; angles 90.00, 109.14, 90.00 degrees
Sites, in units of the cell vectors:
1 La 0.019 0.010 0.269
2 La 0.019 0.490 0.269
3 La 0.386 0.750 0.087
4 La 0.435 0.750 0.619
5 La 0.565 0.250 0.381
6 La 0.614 0.250 0.913
7 La 0.981 0.510 0.731
8 La 0.981 0.990 0.731
9 Ni 0.335 0.750 0.332
10 Ni 0.665 0.250 0.668
11 Bi 0.225 0.250 0.044
12 Bi 0.264 0.250 0.580
13 Bi 0.736 0.750 0.420
14 Bi 0.775 0.750 0.956

The calculation puts the excess energy over the best structure of this formula in the dataset at 22 meV per atom. As for the space group: P2_1/m. The formation energy is -14.6 kcal/mol of atoms.



No. 13
This record from the Alexandria database describes crystalline La4NiBi at its relaxed geometry. The functional is PBE.

Cell lengths 8.753, 8.753, 7.818 Å; angles 105.64, 105.64, 42.22 degrees
Sites, in units of the cell vectors:
1 La 0.028 0.806 0.556
2 La 0.194 0.972 0.944
3 La 0.229 0.416 0.860
4 La 0.416 0.229 0.360
5 La 0.584 0.771 0.640
6 La 0.771 0.584 0.140
7 La 0.806 0.028 0.056
8 La 0.972 0.194 0.444
9 Ni 0.000 0.500 0.500
10 Ni 0.500 0.000 0.000
11 Bi 0.380 0.620 0.250
12 Bi 0.620 0.380 0.750

As for the space group: C2/c. The formation energy is -8.9 kcal/mol of atoms.



No. 14
This record from the Alexandria database describes crystalline LaNi4Bi12 at its relaxed geometry. The functional is PBE.

Cell lengths 8.442, 8.442, 8.442 Å; angles 109.47, 109.47, 109.47 degrees
Sites, in units of the cell vectors:
1 La 0.000 0.000 0.000
2 Ni 0.000 0.000 0.500
3 Ni 0.000 0.500 0.000
4 Ni 0.500 0.000 0.000
5 Ni 0.500 0.500 0.500
6 Bi 0.165 0.330 0.495
7 Bi 0.165 0.670 0.834
8 Bi 0.166 0.835 0.330
9 Bi 0.330 0.166 0.835
10 Bi 0.330 0.495 0.165
11 Bi 0.495 0.165 0.330
12 Bi 0.505 0.835 0.670
13 Bi 0.670 0.505 0.835
14 Bi 0.670 0.834 0.165
15 Bi 0.834 0.165 0.670
16 Bi 0.835 0.330 0.166
17 Bi 0.835 0.670 0.505

As for the space group: Im-3. The formation energy is -2.8 kcal/mol of atoms.



No. 15
This record from the Alexandria database describes crystalline La3Ni3Bi4 at its relaxed geometry. The functional is PBE.

Cell lengths 8.649, 8.649, 8.649 Å; angles 109.47, 109.47, 109.47 degrees
Sites, in units of the cell vectors:
1 La 0.125 0.875 0.250
2 La 0.250 0.125 0.875
3 La 0.375 0.625 0.750
4 La 0.625 0.750 0.375
5 La 0.750 0.375 0.625
6 La 0.875 0.250 0.125
7 Ni 0.125 0.750 0.875
8 Ni 0.250 0.625 0.375
9 Ni 0.375 0.250 0.625
10 Ni 0.625 0.375 0.250
11 Ni 0.750 0.875 0.125
12 Ni 0.875 0.125 0.750
13 Bi 0.000 0.155 0.500
14 Bi 0.000 0.655 0.500
15 Bi 0.155 0.500 0.000
16 Bi 0.345 0.345 0.345
17 Bi 0.500 0.000 0.155
18 Bi 0.500 0.000 0.655
19 Bi 0.655 0.500 0.000
20 Bi 0.845 0.845 0.845

As for the space group: I-43d. The formation energy is -14.9 kcal/mol of atoms.



No. 16
This record from the Alexandria database describes crystalline La4NiBi2 at its relaxed geometry. The functional is PBE.

Cell lengths 5.133, 5.133, 17.793 Å; angles 90.00, 90.00, 90.00 degrees
Sites, in units of the cell vectors:
1 La 0.000 0.000 0.172
2 La 0.000 0.000 0.828
3 La 0.000 0.500 0.000
4 La 0.000 0.500 0.500
5 La 0.500 0.000 0.000
6 La 0.500 0.000 0.500
7 La 0.500 0.500 0.328
8 La 0.500 0.500 0.672
9 Ni 0.000 0.000 0.000
10 Ni 0.500 0.500 0.500
11 Bi 0.000 0.000 0.361
12 Bi 0.000 0.000 0.639
13 Bi 0.500 0.500 0.139
14 Bi 0.500 0.500 0.861

The calculation puts the excess energy over the best structure of this formula in the dataset at 0 meV per atom. As for the space group: I4/mmm. The formation energy is -15.1 kcal/mol of atoms.



No. 17
This record from the Alexandria database describes crystalline La2Ni2Bi at its relaxed geometry. The functional is PBE.

Cell lengths 5.532, 5.532, 8.101 Å; angles 90.00, 90.00, 90.00 degrees
Sites, in units of the cell vectors:
1 La 0.000 0.500 0.250
2 La 0.000 0.500 0.750
3 La 0.500 0.000 0.250
4 La 0.500 0.000 0.750
5 Ni 0.000 0.000 0.143
6 Ni 0.000 0.000 0.857
7 Ni 0.500 0.500 0.357
8 Ni 0.500 0.500 0.643
9 Bi 0.000 0.000 0.500
10 Bi 0.500 0.500 0.000

The calculation puts the excess energy over the best structure of this formula in the dataset at 130 meV per atom. As for the space group: I4/mmm. The formation energy is -9.3 kcal/mol of atoms.



No. 18
This record from the Alexandria database describes crystalline La3Ni3Bi at its relaxed geometry. The functional is PBE.

Cell lengths 9.724, 9.724, 4.268 Å; angles 90.00, 90.00, 120.00 degrees
Sites, in units of the cell vectors:
1 La 0.062 0.690 0.250
2 La 0.310 0.372 0.250
3 La 0.372 0.062 0.750
4 La 0.628 0.938 0.250
5 La 0.690 0.628 0.750
6 La 0.938 0.310 0.750
7 Ni 0.019 0.864 0.750
8 Ni 0.136 0.155 0.750
9 Ni 0.155 0.019 0.250
10 Ni 0.845 0.981 0.750
11 Ni 0.864 0.845 0.250
12 Ni 0.981 0.136 0.250
13 Bi 0.333 0.667 0.750
14 Bi 0.667 0.333 0.250

As for the space group: P6_3/m. The formation energy is -12.1 kcal/mol of atoms.



No. 19
This record from the Alexandria database describes crystalline LaNi2Bi at its relaxed geometry. The functional is PBE.

Cell lengths 4.779, 4.779, 17.405 Å; angles 90.00, 90.00, 90.00 degrees
Sites, in units of the cell vectors:
1 La 0.000 0.000 0.000
2 La 0.000 0.500 0.250
3 La 0.500 0.000 0.750
4 La 0.500 0.500 0.500
5 Ni 0.060 0.250 0.625
6 Ni 0.250 0.560 0.875
7 Ni 0.250 0.940 0.375
8 Ni 0.440 0.250 0.125
9 Ni 0.560 0.750 0.125
10 Ni 0.750 0.060 0.375
11 Ni 0.750 0.440 0.875
12 Ni 0.940 0.750 0.625
13 Bi 0.000 0.000 0.500
14 Bi 0.000 0.500 0.750
15 Bi 0.500 0.000 0.250
16 Bi 0.500 0.500 0.000

As for the space group: I-42d. The formation energy is -1.1 kcal/mol of atoms.



No. 20
This record from the Alexandria database describes crystalline LaNiBi at its relaxed geometry. The functional is PBE.

Cell lengths 4.515, 4.515, 4.331 Å; angles 90.00, 90.00, 120.00 degrees
Sites, in units of the cell vectors:
1 La 0.000 0.000 0.000
2 Ni 0.333 0.667 0.435
3 Bi 0.667 0.333 0.500

As for the space group: P3m1. The formation energy is -14.0 kcal/mol of atoms.